A relaxed Rb3Hg4Pd2 crystal, computed with GGA-PBE.

Results
For the density of states at the Fermi level, the calculation gives 0.352 states/eV per atom. For the formation energy, the calculation gives -0.188 eV per atom. The magnetization is 0.000 μB/atom.

Cell lengths 5.111, 6.836, 9.938 Å; angles 107.98, 90.00, 111.95 degrees
Sites, in units of the cell vectors:
1 Rb 0.389 0.777 0.318
2 Rb 0.000 0.000 0.000
3 Rb 0.611 0.223 0.682
4 Hg 0.143 0.286 0.412
5 Hg 0.278 0.557 0.920
6 Hg 0.722 0.443 0.080
7 Hg 0.857 0.714 0.588
8 Pd 0.671 0.343 0.328
9 Pd 0.329 0.657 0.672

=====

A relaxed Rb2PtI4 crystal, computed with GGA-PBE.

Results
For the raw total energy, the calculation gives -2.95 eV per atom. The magnetization is 0.000 μB/atom.

Cell lengths 7.655, 7.655, 7.655 Å; angles 114.65, 114.65, 99.55 degrees
Sites, in units of the cell vectors:
1 I 0.274 0.726 0.000
2 I 0.726 0.726 0.452
3 I 0.726 0.274 0.000
4 I 0.274 0.274 0.548
5 Rb 0.750 0.250 0.500
6 Rb 0.250 0.750 0.500
7 Pt 0.500 0.500 0.000

=====

A relaxed Pr3Sc3Tl2Ge crystal, computed with GGA-PBE.

Results
For the density of states at the Fermi level, the calculation gives 1.318 states/eV per atom. For the formation energy, the calculation gives -0.400 eV per atom. The magnetization is 0.000 μB/atom.

Cell lengths 4.007, 8.436, 8.436 Å; angles 120.00, 90.00, 90.00 degrees
Sites, in units of the cell vectors:
1 Tl 0.500 0.667 0.333
2 Tl 0.500 0.333 0.667
3 Ge 0.000 0.000 0.000
4 Pr 0.000 0.388 0.000
5 Pr 0.000 0.612 0.612
6 Pr 0.000 0.000 0.388
7 Sc 0.500 0.000 0.759
8 Sc 0.500 0.241 0.241
9 Sc 0.500 0.759 0.000

=====

A relaxed SrAgSb crystal, computed with GGA-PBE.

Results
For the density of states at the Fermi level, the calculation gives 0.032 states/eV per atom. For the raw total energy, the calculation gives -3.30 eV per atom. The magnetization is 0.000 μB/atom.

Cell lengths 5.511, 5.511, 6.581 Å; angles 90.00, 90.00, 120.00 degrees
Sites, in units of the cell vectors:
1 Ag 0.000 0.000 0.500
2 Ag 0.000 0.000 0.000
3 Sr 0.667 0.333 0.750
4 Sr 0.333 0.667 0.250
5 Sb 0.333 0.667 0.750
6 Sb 0.667 0.333 0.250

=====

A relaxed GdLuPt2 crystal, computed with GGA-PBE.

Results
For the density of states at the Fermi level, the calculation gives 0.581 states/eV per atom. For the formation energy, the calculation gives -1.137 eV per atom. The magnetization is 1.787 μB/atom.

Cell lengths 4.053, 4.053, 6.995 Å; angles 73.16, 73.16, 60.00 degrees
Last column: magnetic moment on the atom in μB.
Sites, in units of the cell vectors:
1 Gd 0.500 0.500 0.500  -6.98
2 Pt 0.254 0.254 0.238  0.00
3 Pt 0.746 0.746 0.762  0.00
4 Lu 0.000 0.000 0.000  -0.02

=====

A relaxed AcNd4Ag5 crystal, computed with GGA-PBE.

Results
For the density of states at the Fermi level, the calculation gives 0.798 states/eV per atom. For the formation energy, the calculation gives -0.253 eV per atom. The magnetization is 0.000 μB/atom.

Cell lengths 3.782, 3.782, 19.151 Å; angles 90.00, 90.00, 90.00 degrees
Sites, in units of the cell vectors:
1 Ag 0.500 0.500 0.304
2 Ag 0.500 0.500 0.888
3 Ag 0.500 0.500 0.696
4 Ag 0.500 0.500 0.112
5 Ag 0.500 0.500 0.500
6 Nd 0.000 0.000 0.598
7 Nd 0.000 0.000 0.206
8 Nd 0.000 0.000 0.402
9 Nd 0.000 0.000 0.794
10 Ac 0.000 0.000 0.000

=====

A relaxed RbSr2S2 crystal, computed with GGA-PBE.

Results
For the density of states at the Fermi level, the calculation gives 0.459 states/eV per atom. For the raw total energy, the calculation gives -3.82 eV per atom. The magnetization is 0.140 μB/atom.

Cell lengths 8.482, 8.482, 4.088 Å; angles 90.00, 90.00, 90.00 degrees
Last column: magnetic moment on the atom in μB.
Sites, in units of the cell vectors:
1 Sr 0.349 0.151 0.500  0.05
2 Sr 0.151 0.651 0.500  0.05
3 Sr 0.849 0.349 0.500  0.05
4 Sr 0.651 0.849 0.500  0.05
5 S 0.150 0.350 0.000  0.00
6 S 0.350 0.850 0.000  0.00
7 S 0.850 0.650 0.000  0.00
8 S 0.650 0.150 0.000  0.00
9 Rb 0.000 0.000 0.000  0.05
10 Rb 0.500 0.500 0.000  0.05

=====

A relaxed BaTmS2O8 crystal, computed with GGA-PBE.

Results
For the density of states at the Fermi level, the calculation gives 0.120 states/eV per atom. For the raw total energy, the calculation gives -6.56 eV per atom. The magnetization is 0.037 μB/atom.

Cell lengths 5.195, 5.195, 8.255 Å; angles 90.00, 90.00, 120.00 degrees
Last column: magnetic moment on the atom in μB.
Sites, in units of the cell vectors:
1 O 0.353 0.178 0.296  0.00
2 O 0.822 0.175 0.296  0.00
3 O 0.333 0.667 0.941  0.00
4 O 0.647 0.822 0.704  0.00
5 O 0.175 0.353 0.704  0.00
6 O 0.667 0.333 0.059  0.00
7 O 0.825 0.647 0.296  0.00
8 O 0.178 0.825 0.704  0.00
9 S 0.667 0.333 0.239  0.00
10 S 0.333 0.667 0.761  0.00
11 Tm 0.000 0.000 0.500  0.23
12 Ba 0.000 0.000 0.000  0.00

=====

no.,density (Mg/m³)
1,6.95
2,4.30
3,6.99
4,6.09
5,12.79
6,8.14
7,3.67
8,4.29